Record 1
Crystalline Tc2SbW at its relaxed geometry. Source: the Alexandria database, functional PBE-GGA. Values from VASP.

Results
Uncorrected formation energy = 132 meV per atom
VASP energy = -0.685 Ry/atom

Structure (Quantum ESPRESSO input):
```
&SYSTEM
  ibrav = 0, nat = 4, ntyp = 3
/
ATOMIC_SPECIES
Tc 98.00 Tc.upf
Sb 121.76 Sb.upf
W 183.84 W.upf
CELL_PARAMETERS angstrom
3.176 0.000 0.000
0.000 3.176 0.000
0.000 0.000 6.519
ATOMIC_POSITIONS crystal
Tc 0.000 0.000 0.237
Tc 0.000 0.000 0.763
Sb 0.500 0.500 0.500
W 0.500 0.500 0.000
```

Record 2
Crystalline NaNd2As3Pd4 at its relaxed geometry. Source: the Alexandria database, functional PBE-GGA. Values from VASP.

Results
VASP energy = -0.393 Ry/atom

Structure (Quantum ESPRESSO input):
```
&SYSTEM
  ibrav = 0, nat = 10, ntyp = 4
/
ATOMIC_SPECIES
Na 22.99 Na.upf
Nd 144.24 Nd.upf
As 74.92 As.upf
Pd 106.42 Pd.upf
CELL_PARAMETERS angstrom
4.281 0.000 0.000
0.000 4.281 0.000
0.000 0.000 10.867
ATOMIC_POSITIONS crystal
Na 0.000 0.000 0.000
Nd 0.000 0.500 0.727
Nd 0.500 0.000 0.273
As 0.000 0.500 0.366
As 0.500 0.000 0.634
As 0.500 0.500 0.000
Pd 0.000 0.000 0.500
Pd 0.000 0.500 0.142
Pd 0.500 0.000 0.858
Pd 0.500 0.500 0.500
```

Record 3
Crystalline Sc2IrPd2 at its relaxed geometry. Source: the Alexandria database, functional PBE-GGA. Values from VASP.

Results
Relative energy among the computed polymorphs = 146 meV/atom
VASP energy = -0.517 Ry/atom

Structure (Quantum ESPRESSO input):
```
&SYSTEM
  ibrav = 0, nat = 10, ntyp = 3
/
ATOMIC_SPECIES
Sc 44.96 Sc.upf
Ir 192.22 Ir.upf
Pd 106.42 Pd.upf
CELL_PARAMETERS angstrom
7.226 0.000 0.000
0.000 7.226 0.000
0.000 0.000 3.362
ATOMIC_POSITIONS crystal
Sc 0.179 0.321 0.000
Sc 0.321 0.821 0.000
Sc 0.679 0.179 0.000
Sc 0.821 0.679 0.000
Ir 0.000 0.000 0.500
Ir 0.500 0.500 0.500
Pd 0.129 0.629 0.500
Pd 0.371 0.129 0.500
Pd 0.629 0.871 0.500
Pd 0.871 0.371 0.500
```

Record 4
Crystalline SmLuHgAu at its relaxed geometry. Source: the Alexandria database, functional PBE-GGA. Values from VASP.

Results
VASP energy = -0.282 Ry/atom

Structure (Quantum ESPRESSO input):
```
&SYSTEM
  ibrav = 0, nat = 4, ntyp = 4
/
ATOMIC_SPECIES
Sm 150.36 Sm.upf
Lu 174.97 Lu.upf
Hg 200.59 Hg.upf
Au 196.97 Au.upf
CELL_PARAMETERS angstrom
0.000 3.665 3.665
3.665 0.000 3.665
3.665 3.665 0.000
ATOMIC_POSITIONS crystal
Sm 0.000 0.000 0.000
Lu 0.500 0.500 0.500
Hg 0.750 0.750 0.750
Au 0.250 0.250 0.250
```

Record 5
Crystalline Rb2TlSiAs2 at its relaxed geometry. Source: the Alexandria database, functional PBE-GGA. Values from VASP.

Results
Uncorrected formation energy = -252 meV per atom
VASP energy = -0.252 Ry/atom

Structure (Quantum ESPRESSO input):
```
&SYSTEM
  ibrav = 0, nat = 12, ntyp = 4
/
ATOMIC_SPECIES
Rb 85.47 Rb.upf
Tl 204.38 Tl.upf
Si 28.09 Si.upf
As 74.92 As.upf
CELL_PARAMETERS angstrom
-4.377 7.294 3.212
4.377 -7.294 3.212
4.377 7.294 -3.212
ATOMIC_POSITIONS crystal
Rb 0.178 0.211 0.389
Rb 0.322 0.711 0.033
Rb 0.678 0.289 0.967
Rb 0.822 0.789 0.611
Tl 0.250 0.750 0.500
Tl 0.750 0.250 0.500
Si 0.250 0.250 0.000
Si 0.750 0.750 0.000
As 0.080 0.840 0.921
As 0.420 0.340 0.760
As 0.580 0.660 0.240
As 0.920 0.160 0.079
```

Record 6
Crystalline V3CrGe at its relaxed geometry. Source: the Alexandria database, functional PBE-GGA. Values from VASP.

Results
Relative energy among the computed polymorphs = 880 meV/atom
VASP energy = -0.531 Ry/atom

Structure (Quantum ESPRESSO input):
```
&SYSTEM
  ibrav = 0, nat = 5, ntyp = 3
/
ATOMIC_SPECIES
V 50.94 V.upf
Cr 52.00 Cr.upf
Ge 72.64 Ge.upf
CELL_PARAMETERS angstrom
4.505 0.000 0.000
0.000 4.505 0.000
0.000 0.000 4.505
ATOMIC_POSITIONS crystal
V 0.000 0.000 0.500
V 0.000 0.500 0.000
V 0.500 0.000 0.000
Cr 0.500 0.500 0.500
Ge 0.000 0.000 0.000
```

Record 7
Crystalline PuTaO2 at its relaxed geometry. Source: the Alexandria database, functional PBE-GGA. Values from VASP.

Results
Uncorrected formation energy = -1698 meV per atom
VASP energy = -0.788 Ry/atom

Structure (Quantum ESPRESSO input):
```
&SYSTEM
  ibrav = 0, nat = 4, ntyp = 3
/
ATOMIC_SPECIES
Pu 244.00 Pu.upf
Ta 180.95 Ta.upf
O 16.00 O.upf
CELL_PARAMETERS angstrom
1.500 0.866 7.299
-1.500 0.866 7.299
0.000 -1.732 7.299
ATOMIC_POSITIONS crystal
Pu 0.000 0.000 0.000
Ta 0.500 0.500 0.500
O 0.107 0.107 0.107
O 0.893 0.893 0.893
```

Record 8
Crystalline GaPRuAu2S at its relaxed geometry. Source: the Alexandria database, functional PBE-GGA. Values from VASP.

Results
Uncorrected formation energy = -104 meV per atom
Relative energy among the computed polymorphs = 42 meV/atom
VASP energy = -0.355 Ry/atom

Structure (Quantum ESPRESSO input):
```
&SYSTEM
  ibrav = 0, nat = 6, ntyp = 5
/
ATOMIC_SPECIES
Ga 69.72 Ga.upf
P 30.97 P.upf
Ru 101.07 Ru.upf
Au 196.97 Au.upf
S 32.06 S.upf
CELL_PARAMETERS angstrom
3.365 0.000 0.000
-0.361 4.979 0.000
-1.676 -1.371 6.617
ATOMIC_POSITIONS crystal
Ga 0.000 0.000 0.000
P 0.192 0.798 0.424
Ru 0.561 0.729 0.192
Au 0.336 0.645 0.730
Au 0.438 0.263 0.394
S 0.498 0.327 0.955
```

Record 9
Crystalline MgNbN2F at its relaxed geometry. Source: the Alexandria database, functional PBE-GGA. Values from VASP.

Results
Uncorrected formation energy = -772 meV per atom
Relative energy among the computed polymorphs = 0 meV/atom
VASP energy = -0.500 Ry/atom

Structure (Quantum ESPRESSO input):
```
&SYSTEM
  ibrav = 0, nat = 5, ntyp = 4
/
ATOMIC_SPECIES
Mg 24.30 Mg.upf
Nb 92.91 Nb.upf
N 14.01 N.upf
F 19.00 F.upf
CELL_PARAMETERS angstrom
4.103 0.000 0.000
0.000 4.103 0.000
0.000 0.000 4.035
ATOMIC_POSITIONS crystal
Mg 0.000 0.000 0.000
Nb 0.500 0.500 0.500
N 0.000 0.500 0.500
N 0.500 0.000 0.500
F 0.500 0.500 0.000
```

Record 10
Crystalline Ce2TmAg at its relaxed geometry. Source: the Alexandria database, functional PBE-GGA. Values from VASP.

Results
Relative energy among the computed polymorphs = 0 meV/atom
VASP energy = -0.348 Ry/atom

Structure (Quantum ESPRESSO input):
```
&SYSTEM
  ibrav = 0, nat = 4, ntyp = 3
/
ATOMIC_SPECIES
Ce 140.12 Ce.upf
Tm 168.93 Tm.upf
Ag 107.87 Ag.upf
CELL_PARAMETERS angstrom
3.350 0.000 0.000
0.000 3.350 0.000
0.000 0.000 9.739
ATOMIC_POSITIONS crystal
Ce 0.000 0.000 0.228
Ce 0.000 0.000 0.772
Tm 0.500 0.500 0.500
Ag 0.500 0.500 0.000
```

Record 11
Crystalline VSnRu at its relaxed geometry. Source: the Alexandria database, functional PBE-GGA. Values from VASP.

Results
VASP energy = -0.546 Ry/atom

Structure (Quantum ESPRESSO input):
```
&SYSTEM
  ibrav = 0, nat = 3, ntyp = 3
/
ATOMIC_SPECIES
V 50.94 V.upf
Sn 118.71 Sn.upf
Ru 101.07 Ru.upf
CELL_PARAMETERS angstrom
0.000 3.040 3.040
3.040 0.000 3.040
3.040 3.040 0.000
ATOMIC_POSITIONS crystal
V 0.000 0.000 0.000
Sn 0.500 0.500 0.500
Ru 0.250 0.250 0.250
```

Record 12
Crystalline La2TbTi at its relaxed geometry. Source: the Alexandria database, functional PBE-GGA. Values from VASP.

Results
Relative energy among the computed polymorphs = 0 meV/atom
VASP energy = -0.397 Ry/atom

Structure (Quantum ESPRESSO input):
```
&SYSTEM
  ibrav = 0, nat = 4, ntyp = 3
/
ATOMIC_SPECIES
La 138.91 La.upf
Tb 158.93 Tb.upf
Ti 47.87 Ti.upf
CELL_PARAMETERS angstrom
3.566 0.000 0.000
0.000 3.566 0.000
0.000 0.000 9.368
ATOMIC_POSITIONS crystal
La 0.000 0.000 0.224
La 0.000 0.000 0.776
Tb 0.500 0.500 0.500
Ti 0.500 0.500 0.000
```

Record 13
Crystalline Al2SiNi at its relaxed geometry. Source: the Alexandria database, functional PBE-GGA. Values from VASP.

Results
Uncorrected formation energy = -115 meV per atom
Relative energy among the computed polymorphs = 198 meV/atom
VASP energy = -0.352 Ry/atom

Structure (Quantum ESPRESSO input):
```
&SYSTEM
  ibrav = 0, nat = 4, ntyp = 3
/
ATOMIC_SPECIES
Al 26.98 Al.upf
Si 28.09 Si.upf
Ni 58.69 Ni.upf
CELL_PARAMETERS angstrom
1.445 0.834 7.773
-1.445 0.834 7.773
0.000 -1.668 7.773
ATOMIC_POSITIONS crystal
Al 0.244 0.244 0.244
Al 0.756 0.756 0.756
Si 0.000 0.000 0.000
Ni 0.500 0.500 0.500
```

Record 14
Crystalline TiNiTe2 at its relaxed geometry. Source: the Alexandria database, functional PBE-GGA. Values from VASP.

Results
Uncorrected formation energy = 184 meV per atom
VASP energy = -0.353 Ry/atom

Structure (Quantum ESPRESSO input):
```
&SYSTEM
  ibrav = 0, nat = 4, ntyp = 3
/
ATOMIC_SPECIES
Ti 47.87 Ti.upf
Ni 58.69 Ni.upf
Te 127.60 Te.upf
CELL_PARAMETERS angstrom
1.800 1.039 8.468
-1.800 1.039 8.468
0.000 -2.079 8.468
ATOMIC_POSITIONS crystal
Ti 0.000 0.000 0.000
Ni 0.500 0.500 0.500
Te 0.107 0.107 0.107
Te 0.893 0.893 0.893
```

Record 15
Crystalline MgPaGePd at its relaxed geometry. Source: the Alexandria database, functional PBE-GGA. Values from VASP.

Results
VASP energy = -0.415 Ry/atom

Structure (Quantum ESPRESSO input):
```
&SYSTEM
  ibrav = 0, nat = 4, ntyp = 4
/
ATOMIC_SPECIES
Mg 24.30 Mg.upf
Pa 231.04 Pa.upf
Ge 72.64 Ge.upf
Pd 106.42 Pd.upf
CELL_PARAMETERS angstrom
0.000 3.425 3.425
3.425 0.000 3.425
3.425 3.425 0.000
ATOMIC_POSITIONS crystal
Mg 0.000 0.000 0.000
Pa 0.500 0.500 0.500
Ge 0.250 0.250 0.250
Pd 0.750 0.750 0.750
```

Record 16
Crystalline CsRbLiHg2 at its relaxed geometry. Source: the Alexandria database, functional PBE-GGA. Values from VASP.

Results
Relative energy among the computed polymorphs = 0 meV/atom
VASP energy = -0.069 Ry/atom

Structure (Quantum ESPRESSO input):
```
&SYSTEM
  ibrav = 0, nat = 5, ntyp = 4
/
ATOMIC_SPECIES
Cs 132.91 Cs.upf
Rb 85.47 Rb.upf
Li 6.94 Li.upf
Hg 200.59 Hg.upf
CELL_PARAMETERS angstrom
5.739 0.000 0.000
0.000 5.739 0.000
0.000 0.000 6.108
ATOMIC_POSITIONS crystal
Cs 0.000 0.000 0.000
Rb 0.500 0.500 0.000
Li 0.500 0.500 0.500
Hg 0.000 0.500 0.500
Hg 0.500 0.000 0.500
```

Record 17
Crystalline AlAg2C at its relaxed geometry. Source: the Alexandria database, functional PBE-GGA. Values from VASP.

Results
Relative energy among the computed polymorphs = 0 meV/atom
VASP energy = -0.254 Ry/atom

Structure (Quantum ESPRESSO input):
```
&SYSTEM
  ibrav = 0, nat = 8, ntyp = 3
/
ATOMIC_SPECIES
Al 26.98 Al.upf
Ag 107.87 Ag.upf
C 12.01 C.upf
CELL_PARAMETERS angstrom
-2.412 2.412 6.451
2.412 -2.412 6.451
2.412 2.412 -6.451
ATOMIC_POSITIONS crystal
Al 0.000 0.000 0.000
Al 0.750 0.250 0.500
Ag 0.225 0.625 0.100
Ag 0.375 0.475 0.600
Ag 0.525 0.125 0.900
Ag 0.875 0.775 0.400
C 0.250 0.750 0.500
C 0.500 0.500 0.000
```

Record 18
Crystalline ReTeRh2 at its relaxed geometry. Source: the Alexandria database, functional PBE-GGA. Values from VASP.

Results
Uncorrected formation energy = 336 meV per atom
VASP energy = -0.532 Ry/atom

Structure (Quantum ESPRESSO input):
```
&SYSTEM
  ibrav = 0, nat = 4, ntyp = 3
/
ATOMIC_SPECIES
Re 186.21 Re.upf
Te 127.60 Te.upf
Rh 102.91 Rh.upf
CELL_PARAMETERS angstrom
3.965 0.000 0.000
0.000 3.965 0.000
0.000 0.000 4.051
ATOMIC_POSITIONS crystal
Re 0.000 0.000 0.000
Te 0.500 0.500 0.000
Rh 0.000 0.500 0.500
Rh 0.500 0.000 0.500
```

Record 19
Crystalline Mn2NiCl at its relaxed geometry. Source: the Alexandria database, functional PBE-GGA. Values from VASP.

Results
Uncorrected formation energy = 82 meV per atom
Relative energy among the computed polymorphs = 109 meV/atom
VASP energy = -0.471 Ry/atom

Structure (Quantum ESPRESSO input):
```
&SYSTEM
  ibrav = 0, nat = 4, ntyp = 3
/
ATOMIC_SPECIES
Mn 54.94 Mn.upf
Ni 58.69 Ni.upf
Cl 35.45 Cl.upf
CELL_PARAMETERS angstrom
2.989 0.000 0.000
0.000 2.989 0.000
0.000 0.000 6.947
ATOMIC_POSITIONS crystal
Mn 0.000 0.000 0.212
Mn 0.000 0.000 0.788
Ni 0.500 0.500 0.000
Cl 0.500 0.500 0.500
```

Record 20
Crystalline CrCdBr at its relaxed geometry. Source: the Alexandria database, functional PBE-GGA. Values from VASP.

Results
Uncorrected formation energy = 113 meV per atom
Relative energy among the computed polymorphs = 0 meV/atom
VASP energy = -0.291 Ry/atom

Structure (Quantum ESPRESSO input):
```
&SYSTEM
  ibrav = 0, nat = 3, ntyp = 3
/
ATOMIC_SPECIES
Cr 52.00 Cr.upf
Cd 112.41 Cd.upf
Br 79.90 Br.upf
CELL_PARAMETERS angstrom
3.651 0.000 0.000
-1.825 3.162 0.000
0.000 0.000 6.308
ATOMIC_POSITIONS crystal
Cr 0.000 0.000 0.000
Cd 0.333 0.667 0.689
Br 0.667 0.333 0.268
```

no.,total magnetic moment (μB/f.u.)
1,0.00
2,0.00
3,0.00
4,0.00
5,0.00
6,1.19
7,5.04
8,0.00
9,0.00
10,1.73
11,0.90
12,0.00
13,0.00
14,2.02
15,0.00
16,0.00
17,0.00
18,0.00
19,8.93
20,4.58